Below is crystalline SbAsS2N at its relaxed geometry, with properties calculated at the PBE level.

Cell and atoms, written as POSCAR:
```
SbAsS2N
1.0
-1.805 -2.546 3.832
-0.459 -3.997 -2.871
3.390 -1.040 0.906
Sb As S N
1 1 2 1
Direct
0.500 0.500 0.500
0.000 0.000 0.000
0.000 0.500 0.000
0.500 0.000 0.000
0.000 0.000 0.500
```

SG = No. 123
offset from the most stable computed form = 0.000 eV per atom
density of states at the Fermi level = 0.53 states/eV/atom